[1]
## LaCS (PBE-GGA)

Data for a relaxed structure of LaCS.

Results
V (Å³/atom): 21.8
Crystal system: monoclinic
Formation energy without anion corrections (eV/atom): -1.015

a b c (Å): 4.1597 7.7668 8.1461
angles (deg): 95.69 90.00 90.00
Last column: nearest neighbours and their distance in Å.
Atoms (fractional coordinates):
S 0.7710 0.8872 0.6303  5 La 2.91-3.15, 1 C 3.04
C 0.4213 0.9404 0.9593  1 C 1.27
S 0.7290 0.3872 0.6303  5 La 2.91-3.15, 1 C 3.04
C 0.5787 0.0596 0.0407  1 C 1.27
La 0.2713 0.6588 0.7353  3 C 2.73-3.05, 4 S 2.91-2.96
La 0.7713 0.8412 0.2647  3 C 2.73-3.05, 4 S 2.91-2.96
S 0.2710 0.6128 0.3697  5 La 2.91-3.15, 1 C 3.04
S 0.2290 0.1128 0.3697  5 La 2.91-3.15, 1 C 3.04
C 0.9213 0.5596 0.0407  1 C 1.27
La 0.7287 0.3412 0.2647  3 C 2.73-3.05, 4 S 2.91-2.96
La 0.2287 0.1588 0.7353  3 C 2.73-3.05, 4 S 2.91-2.96
C 0.0787 0.4404 0.9593  1 C 1.27

[2]
## LaCS3 (PBE-GGA)

Data for a relaxed structure of LaCS3.

Results
Energy above the lowest structure with this stoichiometry (kJ/mol of atoms): 139.7
V (Å³/atom): 35.0
Crystal system: cubic
Formation energy without anion corrections (eV/atom): 1.316

a b c (Å): 5.5930 5.5930 5.5930
angles (deg): 90.00 90.00 90.00
Last column: nearest neighbours and their distance in Å.
Atoms (fractional coordinates):
S 0.5000 0.0000 0.0000  2 La 2.80
S 0.0000 0.5000 0.0000  2 La 2.80
C 0.5000 0.5000 0.5000  12 S 3.95
La 0.0000 0.0000 0.0000  6 S 2.80
S 0.0000 0.0000 0.5000  2 La 2.80

[3]
## La4C2S (PBE-GGA)

Data for a relaxed structure of La4C2S.

Results
V (Å³/atom): 25.9
Crystal system: trigonal
Formation energy without anion corrections (eV/atom): -0.687

a b c (Å): 3.8977 3.8977 13.9850
angles (deg): 81.99 81.99 60.00
Last column: nearest neighbours and their distance in Å.
Atoms (fractional coordinates):
C 0.4189 0.4189 0.7434  6 La 2.57-2.80
C 0.5811 0.5811 0.2566  6 La 2.57-2.80
S 0.0000 0.0000 0.0000  6 La 2.93
La 0.1157 0.1157 0.6528  3 C 2.57
La 0.8843 0.8843 0.3472  3 C 2.57
La 0.2879 0.2879 0.1362  3 C 2.80, 3 S 2.93
La 0.7121 0.7121 0.8638  3 C 2.80, 3 S 2.93

[4]
## LaScCS2 (PBE-GGA)

Data for a relaxed structure of LaScCS2.

Results
Energy above the lowest structure with this stoichiometry (kJ/mol of atoms): 0.0
V (Å³/atom): 19.5
Crystal system: tetragonal
Formation energy without anion corrections (eV/atom): 0.258

a b c (Å): 4.6960 4.4170 4.6960
angles (deg): 90.00 90.00 90.00
Last column: nearest neighbours and their distance in Å.
Atoms (fractional coordinates):
La 0.0000 0.5000 0.0000  2 C 2.21
S 0.0000 0.0000 0.5000  2 C 2.35
Sc 0.5000 0.5000 0.5000  8 S 3.22, 4 La 3.32
C 0.0000 0.0000 0.0000  2 La 2.21, 4 S 2.35
S 0.5000 0.0000 0.0000  2 C 2.35

[5]
## LaScCS2 (PBE-GGA)

Data for a relaxed structure of LaScCS2.

Results
Energy above the lowest structure with this stoichiometry (kJ/mol of atoms): 7.1
V (Å³/atom): 25.9
Crystal system: tetragonal
Formation energy without anion corrections (eV/atom): 0.332

a b c (Å): 5.4237 4.3948 5.4237
angles (deg): 90.00 90.00 90.00
Last column: nearest neighbours and their distance in Å.
Atoms (fractional coordinates):
La 0.0000 0.0000 0.0000  2 C 2.20
C 0.0000 0.5000 0.0000  2 La 2.20
Sc 0.5000 0.5000 0.5000  8 S 3.49, 4 C 3.84
S 0.0000 0.0000 0.5000  2 La 2.71
S 0.5000 0.0000 0.0000  2 La 2.71

[6]
## La8CSe4S3 (PBE-GGA)

Data for a relaxed structure of La8CSe4S3.

Results
V (Å³/atom): 26.5
Crystal system: trigonal
Formation energy without anion corrections (eV/atom): -1.837

a b c (Å): 8.3758 8.4898 8.3761
angles (deg): 119.56 120.00 90.00
Last column: nearest neighbours and their distance in Å.
Atoms (fractional coordinates):
S 0.0000 0.5000 0.5000  6 La 2.92-2.94
La 0.7446 0.7337 0.4892  3 S 2.92, 3 Se 3.05
La 0.7618 0.7204 0.9911  1 C 2.73, 2 S 2.94, 2 Se 3.05
Se 0.0000 0.0000 0.0000  6 La 3.05
Se 0.0000 0.0000 0.5000  6 La 3.05
La 0.2294 0.7205 0.4588  1 C 2.74, 2 S 2.94, 2 Se 3.05
C 0.0000 0.5000 0.0000  6 La 2.73-2.74
S 0.5000 0.5000 0.0000  6 La 2.92-2.94
La 0.2293 0.7204 0.9911  1 C 2.73, 2 S 2.94, 2 Se 3.05
La 0.7707 0.2796 0.0089  1 C 2.73, 2 S 2.94, 2 Se 3.05
La 0.7706 0.2795 0.5412  1 C 2.74, 2 S 2.94, 2 Se 3.05
S 0.5000 0.5000 0.5000  6 La 2.92-2.94
Se 0.5000 0.0000 0.0000  6 La 3.23
La 0.2554 0.2663 0.5108  3 S 2.92, 3 Se 3.05
Se 0.5000 0.0000 0.5000  6 La 3.05
La 0.2382 0.2796 0.0089  1 C 2.73, 2 S 2.94, 2 Se 3.05

[7]
## La6CSe3S2 (PBE-GGA)

Data for a relaxed structure of La6CSe3S2.

Results
V (Å³/atom): 26.3
Crystal system: monoclinic
Formation energy without anion corrections (eV/atom): -1.758

a b c (Å): 7.2271 7.2271 7.3737
angles (deg): 99.39 99.39 119.97
Last column: nearest neighbours and their distance in Å.
Atoms (fractional coordinates):
La 0.0735 0.3853 0.2210  1 C 2.73, 2 S 2.93, 2 Se 3.04
Se 0.5000 0.5000 0.5000  6 La 3.04-3.21
Se 0.1720 0.8280 0.5000  6 La 3.04-3.17
S 0.6661 0.3339 0.0000  6 La 2.93
C 0.0000 0.0000 0.0000  6 La 2.73-2.74
Se 0.8280 0.1720 0.5000  6 La 3.04-3.17
La 0.7632 0.7632 0.2236  1 C 2.74, 2 S 2.93
La 0.3853 0.0735 0.2210  1 C 2.73, 2 S 2.93, 2 Se 3.04
La 0.6147 0.9265 0.7790  1 C 2.73, 2 S 2.93, 2 Se 3.04
La 0.9265 0.6147 0.7790  1 C 2.73, 2 S 2.93, 2 Se 3.04
La 0.2368 0.2368 0.7764  1 C 2.74, 2 S 2.93
S 0.3339 0.6661 0.0000  6 La 2.93

[8]
## LaCSe2S (PBE-GGA)

Data for a relaxed structure of LaCSe2S.

Results
V (Å³/atom): 19.2
Crystal system: tetragonal
Formation energy without anion corrections (eV/atom): -0.105

a b c (Å): 4.4098 4.9329 4.4098
angles (deg): 90.00 90.00 90.00
Last column: nearest neighbours and their distance in Å.
Atoms (fractional coordinates):
Se 0.5000 0.0000 0.0000  2 C 2.20
C 0.0000 0.0000 0.0000  4 Se 2.20, 2 S 2.47
S 0.0000 0.5000 0.0000  2 C 2.47
La 0.5000 0.5000 0.5000  4 S 3.12, 8 Se 3.31
Se 0.0000 0.0000 0.5000  2 C 2.20

[9]
## LaTc2CS (PBE-GGA)

Data for a relaxed structure of LaTc2CS.

Results
V (Å³/atom): 27.1
Crystal system: tetragonal
Formation energy without anion corrections (eV/atom): 2.972

a b c (Å): 4.9842 5.4513 4.9842
angles (deg): 90.00 90.00 90.00
Last column: nearest neighbours and their distance in Å.
Atoms (fractional coordinates):
Tc 0.0000 0.0000 0.5000  2 La 2.49
La 0.0000 0.0000 0.0000  4 Tc 2.49, 2 S 2.73
S 0.0000 0.5000 0.0000  2 La 2.73
C 0.5000 0.5000 0.5000  4 S 3.52, 8 Tc 3.69
Tc 0.5000 0.0000 0.0000  2 La 2.49

[10]
## LaZr2CS (PBE-GGA)

Data for a relaxed structure of LaZr2CS.

Results
V (Å³/atom): 30.2
Crystal system: tetragonal
Formation energy without anion corrections (eV/atom): 2.308

a b c (Å): 5.3965 5.1831 5.3965
angles (deg): 90.00 90.00 90.00
Last column: nearest neighbours and their distance in Å.
Atoms (fractional coordinates):
Zr 0.5000 0.0000 0.0000  2 La 2.70
La 0.0000 0.0000 0.0000  2 S 2.59, 4 Zr 2.70
Zr 0.0000 0.0000 0.5000  2 La 2.70
C 0.5000 0.5000 0.5000  8 Zr 3.74, 4 S 3.82
S 0.0000 0.5000 0.0000  2 La 2.59

[11]
## LaSbC3 (PBE-GGA)

Data for a relaxed structure of LaSbC3.

Results
Energy above the lowest structure with this stoichiometry (kJ/mol of atoms): 0.0
V (Å³/atom): 15.6
Crystal system: cubic
Formation energy without anion corrections (eV/atom): 1.592

a b c (Å): 4.2749 4.2749 4.2749
angles (deg): 90.00 90.00 90.00
Last column: nearest neighbours and their distance in Å.
Atoms (fractional coordinates):
La 0.5000 0.5000 0.5000  12 C 3.02
Sb 0.0000 0.0000 0.0000  6 C 2.14
C 0.0000 0.0000 0.5000  2 Sb 2.14
C 0.5000 0.0000 0.0000  2 Sb 2.14
C 0.0000 0.5000 0.0000  2 Sb 2.14

[12]
## La2SbC (PBE-GGA)

Data for a relaxed structure of La2SbC.

Results
V (Å³/atom): 25.6
Crystal system: cubic
Formation energy without anion corrections (eV/atom): 0.228

a b c (Å): 5.2497 5.2497 5.2497
angles (deg): 60.00 60.00 60.00
Last column: nearest neighbours and their distance in Å.
Atoms (fractional coordinates):
La 0.7500 0.7500 0.7500  4 Sb 3.21, 4 C 3.21
La 0.2500 0.2500 0.2500  4 Sb 3.21, 4 C 3.21
Sb 0.5000 0.5000 0.5000  8 La 3.21
C 0.0000 0.0000 0.0000  8 La 3.21